Material: P2Ru
Method: DFT, PBE
State: optimized geometry

Structure (POSCAR):
```
P2Ru
1.0
-1.246 2.301 -3.366
-4.923 -2.100 0.387
-1.946 5.373 4.393
P Ru
8 4
Direct
0.750 0.327 0.990
0.750 0.827 0.510
0.250 0.173 0.490
0.250 0.673 0.010
0.250 0.077 0.842
0.250 0.577 0.658
0.750 0.923 0.158
0.750 0.423 0.342
0.750 0.230 0.661
0.750 0.730 0.839
0.250 0.270 0.161
0.250 0.770 0.339
```

Material: PRu2
Method: DFT, PBE
State: optimized geometry

Structure (POSCAR):
```
PRu2
1.0
2.104 -3.645 0.000
2.104 3.645 0.000
0.000 0.000 2.799
Ru P
2 1
Direct
0.667 0.333 0.500
0.333 0.667 0.500
0.000 0.000 0.000
```

no.,energy of formation (eV per atom)
1,-0.059
2,0.545